Crystalline LiNi5H7 at its relaxed geometry. Source: Alexandria via LeMat-Bulk, functional PBE-GGA.

Calculated values
- Uncorrected energy: -4.294 eV per atom
- Density of states at the Fermi level: 0.25 states/eV per atom

Unit cell a=2.6184 b=15.0000 c=4.5162 alpha=90.00 beta=106.62 gamma=90.00
With the nearest neighbours (Å) after each atom.
Space group P2_1/m (No. 11)
One atom of each set of equivalent atoms:
Li: 0.1883 0.2500 0.3783 x2  2 H 1.91
Ni: 0.0000 0.0000 0.0000 x2  6 H 1.83-1.85
Ni: 0.2731 0.5781 0.5452 x4  5 H 1.67-1.87
Ni: 0.4568 0.1508 0.9156 x4  3 H 1.61-1.71
H: 0.0938 0.1098 0.1866 x4  5 Ni 1.81-1.87
H: 0.1633 0.6703 0.3291 x4  3 Ni 1.67-1.71
H: 0.3638 0.0373 0.7270 x4  6 Ni 1.85-1.90
H: 0.4719 0.7500 0.9427 x2  2 Ni 1.61

Crystalline Li2HgS at its relaxed geometry. Source: Alexandria via LeMat-Bulk, functional PBE-GGA.

Calculated values
- E_form (uncorrected): -0.8624 eV per atom
- Relative energy among the computed polymorphs: 0 meV/atom

Unit cell a=3.9071 b=3.9071 c=19.5238 alpha=90.00 beta=90.00 gamma=120.00
With the nearest neighbours (Å) after each atom.
Space group R-3m (No. 166, hexagonal axes)
One atom of each set of equivalent atoms:
Li: 0.0000 0.0000 0.2082 x6  3 S 2.40
Hg: 0.0000 0.0000 0.0000 x3  6 Li 3.32
S: 0.0000 0.0000 0.5000 x3  6 Li 2.40

Crystalline CsRb3 at its relaxed geometry. Source: Alexandria via LeMat-Bulk, functional PBE-GGA.

Calculated values
- Uncorrected energy: -0.933 eV per atom
- Density of states at the Fermi level: 0.97 states/eV per atom

Unit cell a=5.0886 b=16.8212 c=8.9004 alpha=90.00 beta=90.00 gamma=90.00
With the nearest neighbours (Å) after each atom.
Space group Imm2 (No. 44)
One atom of each set of equivalent atoms:
Cs: 0.0000 0.0000 0.0000 x2  10 Rb 5.09-5.19, 2 Cs 5.09
Rb: 0.0000 0.2455 0.6659 x4  9 Rb 5.08-5.20, 3 Cs 5.09-5.19
Rb: 0.0000 0.5000 0.9967 x2  8 Rb 5.08-5.20, 4 Cs 5.10-5.15

Crystalline Dy6ScCd2 at its relaxed geometry. Source: Alexandria via LeMat-Bulk, functional PBE-GGA.

Calculated values
- Uncorrected energy: -4.090 eV per atom
- Density of states at the Fermi level: 1.04 states/eV per atom

Unit cell a=12.4150 b=3.6931 c=11.7249 alpha=90.00 beta=108.44 gamma=90.00
With the nearest neighbours (Å) after each atom.
Space group C2/m (No. 12)
One atom of each set of equivalent atoms:
Dy: 0.0187 0.0000 0.3392 x4  2 Cd 3.20, 7 Dy 3.46-3.53
Dy: 0.1801 0.5000 0.8793 x4  2 Cd 3.21, 5 Dy 3.36-3.47, 2 Sc 3.52
Dy: 0.1889 0.5000 0.5882 x4  2 Cd 3.32, 10 Dy 3.45-3.69
Sc: 0.0000 0.0000 0.0000 x2  4 Cd 3.02
Cd: 0.1406 0.5000 0.1934 x4  2 Sc 3.02, 6 Dy 3.20-3.32

Crystalline MgMnHRh2 at its relaxed geometry. Source: Alexandria via LeMat-Bulk, functional PBE-GGA.

Calculated values
- Density of states at the Fermi level: 0.58 states/eV per atom
- Relative energy among the computed polymorphs: 54 meV/atom

Unit cell a=4.0229 b=4.0229 c=3.7843 alpha=90.00 beta=90.00 gamma=90.00
With the nearest neighbours (Å) after each atom.
Space group P4/mmm (No. 123)
One atom of each set of equivalent atoms:
Mg: 0.0000 0.0000 0.0000 x1  2 H 1.89
Mn: 0.5000 0.5000 0.0000 x1  8 Rh 2.76, 4 Mg 2.84
H: 0.0000 0.0000 0.5000 x1  2 Mg 1.89, 4 Rh 2.01
Rh: 0.0000 0.5000 0.5000 x2  2 H 2.01

Crystalline Cu2PdO at its relaxed geometry. Source: Alexandria via LeMat-Bulk, functional PBE-GGA.

Calculated values
- E_form (uncorrected): 0.0499 eV per atom
- Density of states at the Fermi level: 0.33 states/eV per atom

Unit cell a=4.7150 b=4.7150 c=10.9480 alpha=90.00 beta=90.00 gamma=90.00
With the nearest neighbours (Å) after each atom.
Space group I-42d (No. 122)
One atom of each set of equivalent atoms:
Cu: 0.0750 0.2500 0.1250 x8  2 O 1.84
Pd: 0.0000 0.0000 0.5000 x4  4 Cu 2.70
O: 0.0000 0.0000 0.0000 x4  4 Cu 1.84

Crystalline VSnBr2 at its relaxed geometry. Source: Alexandria via LeMat-Bulk, functional PBE-GGA.

Calculated values
- E_form (uncorrected): 0.2673 eV per atom
- Density of states at the Fermi level: 1.62 states/eV per atom
- Relative energy among the computed polymorphs: 608 meV/atom

Unit cell a=7.3266 b=7.3266 c=7.3266 alpha=90.00 beta=90.00 gamma=90.00
With the nearest neighbours (Å) after each atom.
Space group Fm-3m (No. 225)
One atom of each set of equivalent atoms:
V: 0.0000 0.0000 0.0000 x4  8 Br 3.17
Sn: 0.0000 0.0000 0.5000 x4  8 Br 3.17
Br: 0.2500 0.2500 0.2500 x8  4 V 3.17, 4 Sn 3.17

Crystalline NaCaAgSn2 at its relaxed geometry. Source: Alexandria via LeMat-Bulk, functional PBE-GGA.

Calculated values
- Uncorrected energy: -3.103 eV per atom
- Density of states at the Fermi level: 0.43 states/eV per atom

Unit cell a=5.8360 b=6.2351 c=7.5835 alpha=90.00 beta=90.00 gamma=90.00
With the nearest neighbours (Å) after each atom.
Space group Pmma (No. 51)
One atom of each set of equivalent atoms:
Na: 0.2500 0.0000 0.1207 x2  2 Ag 3.23, 6 Sn 3.23-3.47, 2 Na 3.44, 2 Ca 3.55
Ca: 0.2500 0.5000 0.3451 x2  6 Sn 3.36-3.43, 2 Na 3.55, 4 Ag 3.64, 2 Ca 3.75
Ag: 0.0000 0.0000 0.5000 x2  4 Sn 2.90, 2 Ag 2.92, 2 Na 3.23
Sn: 0.2500 0.2600 0.7523 x4  2 Ag 2.90, 2 Sn 2.99-3.24, 1 Na 3.23

Crystalline GeTe2OsN at its relaxed geometry. Source: Alexandria via LeMat-Bulk, functional PBE-GGA.

Calculated values
- E_form (uncorrected): 1.3574 eV per atom
- Density of states at the Fermi level: 1.24 states/eV per atom
- Relative energy among the computed polymorphs: 959 meV/atom

Unit cell a=5.3914 b=5.3914 c=3.4450 alpha=90.00 beta=90.00 gamma=90.00
With the nearest neighbours (Å) after each atom.
Space group P4/mmm (No. 123)
One atom of each set of equivalent atoms:
Ge: 0.0000 0.0000 0.0000 x1  2 N 1.72
Te: 0.0000 0.5000 0.0000 x2  2 Ge 2.70
Os: 0.5000 0.5000 0.5000 x1  8 Te 3.20, 2 Os 3.44
N: 0.0000 0.0000 0.5000 x1  2 Ge 1.72

Crystalline YSi2Ag at its relaxed geometry. Source: Alexandria via LeMat-Bulk, functional PBE-GGA.

Calculated values
- E_form (uncorrected): 0.2576 eV per atom
- Density of states at the Fermi level: 0.92 states/eV per atom

Unit cell a=3.1012 b=3.1012 c=27.7883 alpha=90.00 beta=90.00 gamma=120.00
With the nearest neighbours (Å) after each atom.
Space group R-3m (No. 166, hexagonal axes)
One atom of each set of equivalent atoms:
Y: 0.0000 0.0000 0.0000 x3  6 Si 3.06, 6 Y 3.10
Si: 0.0000 0.0000 0.2438 x6  3 Ag 2.79, 3 Y 3.06, 6 Si 3.10
Ag: 0.0000 0.0000 0.5000 x3  6 Si 2.79, 6 Ag 3.10

Crystalline LiCeNdLu at its relaxed geometry. Source: Alexandria via LeMat-Bulk, functional PBE-GGA.

Calculated values
- Uncorrected energy: -4.066 eV per atom
- Density of states at the Fermi level: 2.13 states/eV per atom

Unit cell a=7.7664 b=7.7664 c=7.7664 alpha=90.00 beta=90.00 gamma=90.00
With the nearest neighbours (Å) after each atom.
Space group F-43m (No. 216)
One atom of each set of equivalent atoms:
Li: 0.0000 0.0000 0.0000 x4  4 Ce 3.36, 4 Nd 3.36
Ce: 0.2500 0.2500 0.7500 x4  4 Li 3.36, 4 Lu 3.36
Nd: 0.2500 0.2500 0.2500 x4  4 Li 3.36, 4 Lu 3.36
Lu: 0.0000 0.0000 0.5000 x4  4 Ce 3.36, 4 Nd 3.36

Crystalline K3TiCl at its relaxed geometry. Source: Alexandria via LeMat-Bulk, functional PBE-GGA.

Calculated values
- E_form (uncorrected): -0.0137 eV per atom
- Density of states at the Fermi level: 1.54 states/eV per atom
- Relative energy among the computed polymorphs: 0 meV/atom

Unit cell a=6.1463 b=6.1463 c=6.1463 alpha=90.00 beta=90.00 gamma=90.00
With the nearest neighbours (Å) after each atom.
Space group Pm-3m (No. 221)
One atom of each set of equivalent atoms:
K: 0.0000 0.0000 0.5000 x3  2 Cl 3.07
Ti: 0.5000 0.5000 0.5000 x1  12 K 4.35
Cl: 0.0000 0.0000 0.0000 x1  6 K 3.07

no.,total magnetization (μB/cell)
1,0.0
2,0.0
3,0.0
4,0.0
5,4.2
6,0.0
7,15.8
8,0.0
9,0.4
10,0.0
11,3.9
12,3.8